The following is a DFT calculation (PBE with a Hubbard U) of an optimized crystal structure of LaMoI2O.

Cell and atoms, written as CIF:
```
data_LaMoI2O
_chemical_formula_sum 'La1 Mo1 I2 O1'
_cell_length_a 6.5363
_cell_length_b 6.5363
_cell_length_c 4.3155
_cell_angle_alpha 90.00
_cell_angle_beta 90.00
_cell_angle_gamma 90.00
_symmetry_space_group_name_H-M 'P 1'
_symmetry_Int_Tables_number 1
_symmetry_space_group_name_Hall 'P 1'
loop_
_atom_site_label
_atom_site_type_symbol
_atom_site_fract_x
_atom_site_fract_y
_atom_site_fract_z
La1 La 0.0000 0.0000 0.0000
Mo1 Mo 0.5000 0.5000 0.5000
I1 I 0.0000 0.5000 0.0000
I2 I 0.5000 0.0000 0.0000
O1 O 0.0000 0.0000 0.5000
```

Computed properties:
* symmetry: P4/mmm, No. 123
* D(E_F): 1.2 states/eV per cell
* M_tot: 5.068 μB per formula unit
* uncorrected energy: -4.961 eV/atom